This record from the Alexandria database describes a geometry-optimized NaPaAs2 structure. The functional is PBE.

Summary:
**DOS at the Fermi energy**: 3.1 states/eV/cell
**Formation energy**: -667 meV per atom
**Energy above the lowest structure with this stoichiometry**: 119 meV per atom
**Crystal system**: monoclinic

Structure (CIF):
```
data_NaPaAs2
_space_group_name_H-M_alt 'C 1 2/m 1'
_space_group_IT_number 12
_space_group_name_Hall '-C 2y'
_cell_length_a 5.582
_cell_length_b 4.434
_cell_length_c 7.825
_cell_angle_alpha 90.00
_cell_angle_beta 97.75
_cell_angle_gamma 90.00
loop_
_atom_site_label
_atom_site_fract_x
_atom_site_fract_y
_atom_site_fract_z
_atom_site_occupancy
Na1 0.000 0.000 0.000 1
Pa1 0.000 0.000 0.500 1
As1 0.041 0.500 0.727 1
```